Below is a PBEsol-optimized structure of SrScSb, with properties calculated at the meta-GGA SCAN level.

Lattice parameters (Å, degrees): 4.4980 4.8759 4.8759 120.00 90.00 90.00
Fractional coordinates of all 3 atoms:
1 Sb 0.8334 0.0000 0.0000
2 Sc 0.8333 0.3333 0.6667
3 Sr 0.3334 0.6667 0.3333

Summary:
* DOS(E_F): 1.96 states/eV/cell
* size of the total moment: 0.00 μB/atom
* space-group type: No. 187
* formation energy without anion corrections: -0.59 eV/atom